# 1
The following is a GGA-PBEsol calculation of K5Sr after structural relaxation, from Alexandria via LeMat-Bulk.

Cell: 6.393 19.588 6.365 Å, 90.00 90.00 90.00°
Space group Cmmm (No. 65)
Inequivalent atoms, fractional coordinates:
K 0.000 0.000 0.000 x2
K 0.000 0.165 0.500 x4
K 0.000 0.336 0.000 x4
Sr 0.000 0.500 0.500 x2

For the polymorph energy (0 for the lowest one), the calculation gives 0.015 eV per atom.



# 2
The following is a GGA-PBEsol calculation of K5Sr4 after structural relaxation, from Alexandria via LeMat-Bulk.

Cell: 15.364 15.364 4.615 Å, 90.00 90.00 90.00°
Space group I4/mmm (No. 139)
Inequivalent atoms, fractional coordinates:
K 0.000 0.000 0.000 x2
K 0.170 0.170 0.500 x8
Sr 0.000 0.344 0.000 x8



# 3
The following is a GGA-PBEsol calculation of K5Sr after structural relaxation, from Alexandria via LeMat-Bulk.

Cell: 16.936 4.415 10.959 Å, 90.00 104.53 90.00°
Space group Cm (No. 8)
Inequivalent atoms, fractional coordinates:
K 0.000 0.000 0.000 x2
K 0.061 0.000 0.612 x2
K 0.168 0.500 0.325 x2
K 0.232 0.500 0.955 x2
K 0.336 0.000 0.657 x2
Sr 0.395 0.000 0.283 x2

For the polymorph energy (0 for the lowest one), the calculation gives 0.000 eV per atom.



no.,energy relative to the elements (eV per formula unit)
1,0.47
2,0.81
3,0.38